1.
Entry from Alexandria: a relaxed structure of Sr3Li2Pt (GGA-PBE).

Lattice parameters (Å, degrees): 13.473 4.501 13.238 90.00 90.00 90.00
Sites, in units of the cell vectors:
Sr 0.050 0.250 0.135
Sr 0.109 0.750 0.549
Sr 0.236 0.250 0.791
Sr 0.264 0.750 0.291
Sr 0.391 0.250 0.049
Sr 0.450 0.750 0.635
Sr 0.550 0.250 0.365
Sr 0.609 0.750 0.951
Sr 0.736 0.250 0.709
Sr 0.764 0.750 0.209
Sr 0.891 0.250 0.451
Sr 0.950 0.750 0.865
Li 0.026 0.750 0.321
Li 0.214 0.750 0.985
Li 0.286 0.250 0.485
Li 0.474 0.250 0.821
Li 0.526 0.750 0.179
Li 0.714 0.750 0.515
Li 0.786 0.250 0.015
Li 0.974 0.250 0.679
Pt 0.117 0.250 0.373
Pt 0.383 0.750 0.873
Pt 0.617 0.250 0.127
Pt 0.883 0.750 0.627

Summary:
SG: Pnma, No. 62
Energy relative to the elements: -0.352 eV/atom
ρ: 3.9 g/cm3

=====

2.
Entry from Alexandria: a relaxed structure of SrLiPt (GGA-PBE).

Lattice parameters (Å, degrees): 4.304 4.304 7.403 90.00 90.00 90.00
Sites, in units of the cell vectors:
Sr 0.250 0.250 0.166
Sr 0.750 0.750 0.834
Li 0.250 0.750 0.500
Li 0.750 0.250 0.500
Pt 0.250 0.250 0.721
Pt 0.750 0.750 0.279

Summary:
SG: P4/nmm, No. 129
Energy relative to the elements: -0.633 eV/atom
ρ: 7.0 g/cm3
Excess energy over the best structure of this formula in the dataset: 0 meV/atom

=====

3.
Entry from Alexandria: a relaxed structure of SrLi9Pt2 (GGA-PBE).

Lattice parameters (Å, degrees): 8.692 8.692 8.692 100.05 100.05 130.63
Sites, in units of the cell vectors:
Sr 0.375 0.625 0.750
Sr 0.625 0.375 0.250
Li 0.125 0.875 0.250
Li 0.152 0.581 0.323
Li 0.152 0.829 0.570
Li 0.171 0.241 0.323
Li 0.171 0.848 0.930
Li 0.241 0.171 0.823
Li 0.241 0.419 0.070
Li 0.419 0.241 0.570
Li 0.419 0.848 0.177
Li 0.581 0.152 0.823
Li 0.581 0.759 0.430
Li 0.759 0.581 0.930
Li 0.759 0.829 0.177
Li 0.829 0.152 0.070
Li 0.829 0.759 0.677
Li 0.848 0.171 0.430
Li 0.848 0.419 0.677
Li 0.875 0.125 0.750
Pt 0.000 0.000 0.000
Pt 0.000 0.000 0.500
Pt 0.000 0.500 0.000
Pt 0.500 0.000 0.500

Summary:
SG: I4_1/amd, No. 141
Energy relative to the elements: -0.289 eV/atom
ρ: 4.0 g/cm3

=====

4.
Entry from Alexandria: a relaxed structure of Sr2Li2Pt (GGA-PBE).

Lattice parameters (Å, degrees): 10.275 10.275 10.275 158.67 158.67 30.34
Sites, in units of the cell vectors:
Sr 0.088 0.088 0.000
Sr 0.912 0.912 0.000
Li 0.250 0.750 0.500
Li 0.750 0.250 0.500
Pt 0.500 0.500 0.000

Summary:
SG: I4/mmm, No. 139
Energy relative to the elements: -0.286 eV/atom
ρ: 4.4 g/cm3
Excess energy over the best structure of this formula in the dataset: 40 meV/atom

=====

5.
Entry from Alexandria: a relaxed structure of SrLi2Pt3 (GGA-PBE).

Lattice parameters (Å, degrees): 5.498 5.498 4.055 90.00 90.00 120.00
Sites, in units of the cell vectors:
Sr 0.000 0.000 0.000
Li 0.333 0.667 0.000
Li 0.667 0.333 0.000
Pt 0.000 0.500 0.500
Pt 0.500 0.000 0.500
Pt 0.500 0.500 0.500

Summary:
SG: P6/mmm, No. 191
Energy relative to the elements: -0.732 eV/atom
ρ: 10.7 g/cm3

=====

6.
Entry from Alexandria: a relaxed structure of Sr5Li4Pt4 (GGA-PBE).

Lattice parameters (Å, degrees): 8.798 8.798 8.798 93.61 93.61 150.95
Sites, in units of the cell vectors:
Sr 0.000 0.000 0.000
Sr 0.288 0.371 0.660
Sr 0.371 0.712 0.083
Sr 0.629 0.288 0.917
Sr 0.712 0.629 0.340
Li 0.103 0.575 0.678
Li 0.425 0.103 0.529
Li 0.575 0.897 0.471
Li 0.897 0.425 0.322
Pt 0.057 0.260 0.317
Pt 0.260 0.943 0.203
Pt 0.740 0.057 0.797
Pt 0.943 0.740 0.683

Summary:
SG: I4/m, No. 87
Energy relative to the elements: -0.587 eV/atom
ρ: 6.5 g/cm3

=====

7.
Entry from Alexandria: a relaxed structure of SrLi2Pt (GGA-PBE).

Lattice parameters (Å, degrees): 3.626 3.626 6.307 90.00 90.00 90.00
Sites, in units of the cell vectors:
Sr 0.000 0.000 0.000
Li 0.500 0.500 0.327
Li 0.500 0.500 0.673
Pt 0.000 0.000 0.500

Summary:
SG: P4/mmm, No. 123
Energy relative to the elements: -0.224 eV/atom
ρ: 5.9 g/cm3
Excess energy over the best structure of this formula in the dataset: 253 meV/atom

=====

8.
Entry from Alexandria: a relaxed structure of Sr4LiPt4 (GGA-PBE).

Lattice parameters (Å, degrees): 8.760 8.760 6.117 90.00 90.00 90.00
Sites, in units of the cell vectors:
Sr 0.036 0.685 0.102
Sr 0.185 0.964 0.602
Sr 0.315 0.536 0.602
Sr 0.464 0.815 0.102
Sr 0.536 0.185 0.898
Sr 0.685 0.464 0.398
Sr 0.815 0.036 0.398
Sr 0.964 0.315 0.898
Li 0.250 0.250 0.250
Li 0.750 0.750 0.750
Pt 0.012 0.360 0.405
Pt 0.140 0.012 0.095
Pt 0.360 0.488 0.095
Pt 0.488 0.140 0.405
Pt 0.512 0.860 0.595
Pt 0.640 0.512 0.905
Pt 0.860 0.988 0.905
Pt 0.988 0.640 0.595

Summary:
SG: P4_2/n, No. 86
Energy relative to the elements: -0.666 eV/atom
ρ: 8.1 g/cm3

=====

Which of these has the lowest energy relative to the elements? SrLi2Pt3

=====

Among the records above, which one has the lowest ρ? Sr3Li2Pt

=====

Which of these has the highest ρ? SrLi2Pt3

=====

What is the formula in the eighth record? Sr4LiPt4